The following is a PBE calculation of a relaxed Pu2FeTcGe6 crystal, from the Alexandria database.

## Properties
- energy of formation (eV per atom) = -0.20
- symmetry = No. 166
- total moment (μB per formula unit) = 12.170
- theoretical density (kg/m3) = 9365
- DOS at the Fermi energy (states/eV per cell) = 38.413

Unit cell a=6.1252 b=6.1252 c=12.2827 alpha=75.56 beta=75.56 gamma=60.00
Positions (direct):
Ge (0.3437, 0.3437, 0.3802)
Ge (0.6563, 0.0675, 0.6198)
Ge (0.9325, 0.3437, 0.3802)
Ge (0.6582, 0.2318, 0.8782)
Ge (0.2318, 0.2318, 0.8782)
Ge (0.2318, 0.6582, 0.8782)
Ge (0.3418, 0.7682, 0.1218)
Ge (0.7682, 0.3418, 0.1218)
Ge (0.7682, 0.7682, 0.1218)
Ge (0.6563, 0.6563, 0.6198)
Ge (0.0675, 0.6563, 0.6198)
Ge (0.3437, 0.9325, 0.3802)
Pu (0.2945, 0.2945, 0.1166)
Pu (0.7055, 0.7055, 0.8834)
Pu (0.8880, 0.8880, 0.3361)
Pu (0.1120, 0.1120, 0.6639)
Tc (0.0000, 0.0000, 0.0000)
Tc (0.5000, 0.5000, 0.5000)
Fe (0.5730, 0.5730, 0.2810)
Fe (0.4270, 0.4270, 0.7190)